Record 1
This record from Alexandria via LeMat-Bulk describes crystalline Zn2TcP at its relaxed geometry. The functional is PBE-GGA.

Cell lengths 3.603, 3.603, 4.324 Å; angles 90.00, 90.00, 90.00 degrees
Site moments in Bohr magnetons follow the coordinates.
Fractional positions:
P: 0.500 0.500 0.500  0.01
Zn: 0.000 0.500 0.000  -0.01
Zn: 0.500 0.000 0.000  -0.01
Tc: 0.000 0.000 0.500  0.71

Values from the calculation:
The energy of formation comes out at 0.16 eV per atom. The final energy comes out at -4.42 eV per atom.

=====

Record 2
This record from Alexandria via LeMat-Bulk describes crystalline Zn2TcP at its relaxed geometry. The functional is PBE-GGA.

Cell lengths 8.243, 8.243, 8.243 Å; angles 20.64, 20.64, 20.64 degrees
Fractional positions:
Zn: 0.753 0.753 0.753
Zn: 0.997 0.997 0.997
Tc: 0.241 0.241 0.241
P: 0.509 0.509 0.509

Values from the calculation:
The energy of formation comes out at -0.07 eV per atom. The final energy comes out at -4.65 eV per atom.

=====

Record 3
This record from Alexandria via LeMat-Bulk describes crystalline Zn2TcP2 at its relaxed geometry. The functional is PBE-GGA.

Cell lengths 8.560, 8.560, 8.560 Å; angles 158.72, 158.72, 30.27 degrees
Site moments in Bohr magnetons follow the coordinates.
Fractional positions:
Tc: 0.000 0.000 0.000  1.47
P: 0.750 0.250 0.500  0.01
P: 0.250 0.750 0.500  0.01
Zn: 0.593 0.593 0.000  0.01
Zn: 0.407 0.407 0.000  0.01

Values from the calculation:
The energy of formation comes out at 0.47 eV per atom. The final energy comes out at -4.28 eV per atom. As for the energy relative to the lowest polymorph listed for this composition: 521.3 meV per atom.

=====

Record 4
This record from Alexandria via LeMat-Bulk describes crystalline Zn2TcP at its relaxed geometry. The functional is PBE-GGA.

Cell lengths 8.628, 8.628, 8.628 Å; angles 18.99, 18.99, 18.99 degrees
Site moments in Bohr magnetons follow the coordinates.
Fractional positions:
Zn: 0.250 0.250 0.250  0.00
Zn: 0.750 0.750 0.750  0.00
P: 0.500 0.500 0.500  0.00
Tc: 0.000 0.000 0.000  0.30

Values from the calculation:
The energy of formation comes out at 0.28 eV per atom. The final energy comes out at -4.30 eV per atom.

=====

Record 5
This record from Alexandria via LeMat-Bulk describes crystalline ZnTc2P at its relaxed geometry. The functional is PBE-GGA.

Cell lengths 3.013, 3.013, 6.130 Å; angles 90.00, 90.00, 90.00 degrees
Fractional positions:
P: 0.500 0.500 0.770
Tc: 0.000 0.000 0.969
Tc: 0.500 0.500 0.251
Zn: 0.000 0.000 0.509

Values from the calculation:
The energy of formation comes out at -0.10 eV per atom. The final energy comes out at -6.96 eV per atom. As for the energy relative to the lowest polymorph listed for this composition: 50.3 meV per atom.

=====

Record 6
This record from Alexandria via LeMat-Bulk describes crystalline ZnTcP at its relaxed geometry. The functional is PBE-GGA.

Cell lengths 4.067, 4.067, 4.067 Å; angles 60.00, 60.00, 60.00 degrees
Fractional positions:
Zn: 0.000 0.000 0.000
P: 0.500 0.500 0.500
Tc: 0.250 0.250 0.250

Values from the calculation:
The energy of formation comes out at 0.15 eV per atom. The final energy comes out at -5.53 eV per atom. As for the energy relative to the lowest polymorph listed for this composition: 446.6 meV per atom.

=====

Record 7
This record from Alexandria via LeMat-Bulk describes crystalline ZnTcP at its relaxed geometry. The functional is PBE-GGA.

Cell lengths 3.978, 3.978, 3.978 Å; angles 60.00, 60.00, 60.00 degrees
Fractional positions:
Zn: 0.500 0.500 0.500
P: 0.250 0.250 0.250
Tc: 0.000 0.000 0.000

Values from the calculation:
The energy of formation comes out at -0.01 eV per atom. The final energy comes out at -5.70 eV per atom. As for the energy relative to the lowest polymorph listed for this composition: 280.5 meV per atom.

=====

Record 8
This record from Alexandria via LeMat-Bulk describes crystalline Zn2TcP at its relaxed geometry. The functional is PBE-GGA.

Cell lengths 2.692, 2.692, 8.404 Å; angles 90.00, 90.00, 104.35 degrees
Fractional positions:
Zn: 0.000 0.000 0.753
Zn: 0.000 0.000 0.247
Tc: 0.500 0.500 0.000
P: 0.500 0.500 0.500

Values from the calculation:
The energy of formation comes out at 0.29 eV per atom. The final energy comes out at -4.29 eV per atom.